Entry 1:
Material: CsRbCdIn
Method: DFT, PBE
State: optimized geometry

Structure (POSCAR):
```
CsRbCdIn
1.0
0.000 4.335 4.335
4.335 0.000 4.335
4.335 4.335 0.000
Cs Rb Cd In
1 1 1 1
Direct
0.000 0.000 0.000
0.750 0.750 0.750
0.250 0.250 0.250
0.500 0.500 0.500
```

Output
Energy of formation from the pure elements, kJ/mol of atoms: 7.76
Calculated volume, Å³ per atom: 40.73

---

Entry 2:
Material: BeNiAs2
Method: DFT, PBE
State: optimized geometry

Structure (POSCAR):
```
BeNiAs2
1.0
-2.673 2.673 5.028
2.673 -2.673 5.028
2.673 2.673 -5.028
Be Ni As
2 2 4
Direct
0.000 0.000 0.000
0.750 0.250 0.500
0.250 0.750 0.500
0.500 0.500 0.000
0.117 0.625 0.992
0.375 0.367 0.492
0.633 0.125 0.008
0.875 0.883 0.508
```

Output
Energy of formation from the pure elements, kJ/mol of atoms: 9.04
Calculated volume, Å³ per atom: 17.96

---

Entry 3:
Material: PtAu2Se
Method: DFT, PBE
State: optimized geometry

Structure (POSCAR):
```
PtAu2Se
1.0
-1.457 2.431 5.123
1.457 -2.431 5.123
1.457 2.431 -5.123
Pt Au Se
1 2 1
Direct
0.000 0.000 0.000
0.241 0.741 0.500
0.759 0.259 0.500
0.500 0.500 0.000
```

Output
Uncorrected formation energy, eV/atom: 0.20
Calculated volume, Å³ per atom: 18.14

---

Entry 4:
Material: PuHgBr3
Method: DFT, PBE
State: optimized geometry

Structure (POSCAR):
```
PuHgBr3
1.0
3.690 2.130 9.833
-3.690 2.130 9.833
0.000 -4.261 9.833
Pu Hg Br
2 2 6
Direct
0.167 0.167 0.167
0.833 0.833 0.833
0.339 0.339 0.339
0.661 0.661 0.661
0.083 0.444 0.808
0.192 0.917 0.556
0.444 0.808 0.083
0.556 0.192 0.917
0.808 0.083 0.444
0.917 0.556 0.192
```

Output
Uncorrected formation energy, eV/atom: -1.21
Calculated volume, Å³ per atom: 46.38
Energy above the most stable polymorph in this dataset, meV/atom: 0

---

Entry 5:
Material: RePb3
Method: DFT, PBE
State: optimized geometry

Structure (POSCAR):
```
RePb3
1.0
5.540 -6.390 0.000
5.540 6.390 0.000
0.000 0.000 3.326
Re Pb
2 6
Direct
0.070 0.930 0.750
0.930 0.070 0.250
0.106 0.342 0.750
0.286 0.714 0.250
0.342 0.106 0.250
0.658 0.894 0.750
0.714 0.286 0.750
0.894 0.658 0.250
```

Output
Energy of formation from the pure elements, kJ/mol of atoms: 40.39
Calculated volume, Å³ per atom: 29.44
Energy above the most stable polymorph in this dataset, meV/atom: 0

---

Entry 6:
Material: LiMnSn
Method: DFT, PBE
State: optimized geometry

Structure (POSCAR):
```
LiMnSn
1.0
4.542 -2.259 0.000
4.542 2.259 0.000
-4.197 0.000 5.423
Li Mn Sn
2 2 2
Direct
0.202 0.202 0.132
0.798 0.798 0.868
0.077 0.077 0.449
0.923 0.923 0.551
0.446 0.446 0.746
0.554 0.554 0.254
```

Output
Energy of formation from the pure elements, kJ/mol of atoms: 18.19
Calculated volume, Å³ per atom: 18.55

---

| no. | magnetic moment (Bohr magnetons per cell) |
| --- | --- |
| 1 | 0.0 |
| 2 | 0.0 |
| 3 | 0.0 |
| 4 | 10.0 |
| 5 | 0.0 |
| 6 | 1.3 |